(1)
Material: In3C2
Method: DFT, GGA-PBE
State: relaxed

Properties
The total energy comes out at -4.24 eV per atom. As for the calculated volume: 20.87 A^3/atom. The value obtained for the spin magnetization is 0.000 μB/atom. The energy of formation comes out at 25.1 kcal/mol of atoms. The density of states at the Fermi level comes out at 0.5116 states/eV per atom.

Cell and atoms, written as CIF:
```
data_In3C2
_chemical_formula_sum 'In24 C16'
_symmetry_space_group_name_H-M 'F d d 2'
_symmetry_Int_Tables_number 43
_symmetry_space_group_name_Hall 'F 2 -2d'
_cell_length_a 11.086
_cell_length_b 14.234
_cell_length_c 5.289
_cell_angle_alpha 90.00
_cell_angle_beta 90.00
_cell_angle_gamma 90.00
loop_
_atom_site_label
_atom_site_type_symbol
_atom_site_fract_x
_atom_site_fract_y
_atom_site_fract_z
_atom_site_occupancy
In1 In 0.000 0.000 0.000 1
In2 In 0.083 0.303 0.787 1
C1 C 0.097 0.198 0.476 1
```

***

(2)
Material: NaSmTh
Method: DFT, GGA-PBE
State: relaxed

Properties
The total energy comes out at -4.32 eV per atom. As for the calculated volume: 33.91 A^3/atom. The value obtained for the spin magnetization is 0.000 μB/atom. The energy of formation comes out at 3.8 kcal/mol of atoms. The density of states at the Fermi level comes out at 1.0215 states/eV per atom.

Cell and atoms, written as CIF:
```
data_NaSmTh
_chemical_formula_sum 'Na1 Sm1 Th1'
_symmetry_space_group_name_H-M 'P 3 m 1'
_symmetry_Int_Tables_number 156
_cell_length_a 3.5459
_cell_length_b 3.5459
_cell_length_c 9.3428
_cell_angle_alpha 90.00
_cell_angle_beta 90.00
_cell_angle_gamma 120.00
loop_
_symmetry_equiv_pos_as_xyz
'x,y,z'
'-y,x-y,z'
'-x+y,-x,z'
'-y,-x,z'
'-x+y,y,z'
'x,x-y,z'
loop_
_atom_site_label
_atom_site_type_symbol
_atom_site_fract_x
_atom_site_fract_y
_atom_site_fract_z
_atom_site_occupancy
Na1 Na 0.0000 0.0000 0.0000 1
Sm1 Sm 0.3333 0.6667 0.6541 1
Th1 Th 0.6667 0.3333 0.3486 1
```

***

(3)
Material: Ce6ZnIn5
Method: DFT, GGA-PBE
State: relaxed

Properties
The total energy comes out at -4.54 eV per atom. As for the calculated volume: 26.06 A^3/atom. The value obtained for the spin magnetization is 0.392 μB/atom. The energy of formation comes out at -7.6 kcal/mol of atoms. The density of states at the Fermi level comes out at 2.4464 states/eV per atom.

Cell and atoms, written as CIF:
```
data_Ce6ZnIn5
_chemical_formula_sum 'Ce6 Zn1 In5'
_symmetry_space_group_name_H-M 'P 1 2/m 1'
_symmetry_Int_Tables_number 10
_cell_length_a 4.680
_cell_length_b 9.505
_cell_length_c 7.391
_cell_angle_alpha 90.00
_cell_angle_beta 107.97
_cell_angle_gamma 90.00
loop_
_symmetry_equiv_pos_as_xyz
'x,y,z'
'-x,-y,-z'
'-x,y,-z'
'x,-y,z'
loop_
_atom_site_label
_atom_site_type_symbol
_atom_site_fract_x
_atom_site_fract_y
_atom_site_fract_z
_atom_site_occupancy
Ce1 Ce 0.000 0.243 0.000 1
Ce2 Ce 0.338 0.246 0.676 1
Zn1 Zn 0.500 0.000 0.000 1
In1 In 0.167 0.000 0.334 1
In2 In 0.168 0.500 0.336 1
In3 In 0.500 0.500 0.000 1
```

***

(4)
Material: TcMo2W6
Method: DFT, GGA-PBE
State: relaxed

Properties
The total energy comes out at -11.70 eV per atom. As for the calculated volume: 17.02 A^3/atom. The value obtained for the spin magnetization is 0.000 μB/atom. The energy of formation comes out at 11.4 kcal/mol of atoms. The density of states at the Fermi level comes out at 0.7081 states/eV per atom.

Cell and atoms, written as CIF:
```
data_TcMo2W6
_chemical_formula_sum 'Tc1 Mo2 W6'
_symmetry_space_group_name_H-M 'P -1'
_symmetry_Int_Tables_number 2
_cell_length_a 4.511
_cell_length_b 5.405
_cell_length_c 6.758
_cell_angle_alpha 99.01
_cell_angle_beta 109.45
_cell_angle_gamma 90.06
loop_
_symmetry_equiv_pos_as_xyz
'x,y,z'
'-x,-y,-z'
loop_
_atom_site_label
_atom_site_type_symbol
_atom_site_fract_x
_atom_site_fract_y
_atom_site_fract_z
_atom_site_occupancy
Tc1 Tc 0.000 0.000 0.000 1
Mo1 Mo 0.102 0.484 0.203 1
W1 W 0.292 0.339 0.584 1
W2 W 0.307 0.857 0.614 1
W3 W 0.497 0.254 0.994 1
```

***

(5)
Material: OsSeNF2
Method: DFT, GGA-PBE
State: relaxed

Properties
The total energy comes out at -4.18 eV per atom. As for the uncorrected formation energy: 5.9 eV/f.u. As for the calculated volume: 15.78 A^3/atom. The value obtained for the spin magnetization is 0.875 μB/atom. The density of states at the Fermi level comes out at 0.8541 states/eV per atom.

Cell and atoms, written as CIF:
```
data_OsSeNF2
_chemical_formula_sum 'Os1 Se1 N1 F2'
_symmetry_space_group_name_H-M 'P 4/m m m'
_symmetry_Int_Tables_number 123
_symmetry_space_group_name_Hall '-P 4 2'
_cell_length_a 4.674
_cell_length_b 4.674
_cell_length_c 3.611
_cell_angle_alpha 90.00
_cell_angle_beta 90.00
_cell_angle_gamma 90.00
loop_
_atom_site_label
_atom_site_type_symbol
_atom_site_fract_x
_atom_site_fract_y
_atom_site_fract_z
_atom_site_occupancy
Os1 Os 0.000 0.000 0.000 1
Se1 Se 0.500 0.500 0.500 1
N1 N 0.500 0.500 0.000 1
F1 F 0.000 0.500 0.500 1
```

***

(6)
Material: AcPb
Method: DFT, GGA-PBE
State: relaxed

Properties
The total energy comes out at -4.30 eV per atom. As for the calculated volume: 40.86 A^3/atom. The value obtained for the spin magnetization is 0.000 μB/atom. The energy of formation comes out at -9.0 kcal/mol of atoms. The density of states at the Fermi level comes out at 1.7764 states/eV per atom.

Cell and atoms, written as CIF:
```
data_AcPb
_chemical_formula_sum 'Ac4 Pb4'
_symmetry_space_group_name_H-M 'F m -3 m'
_symmetry_Int_Tables_number 225
_symmetry_space_group_name_Hall '-F 4 2 3'
_cell_length_a 6.889
_cell_length_b 6.889
_cell_length_c 6.889
_cell_angle_alpha 90.00
_cell_angle_beta 90.00
_cell_angle_gamma 90.00
loop_
_atom_site_label
_atom_site_type_symbol
_atom_site_fract_x
_atom_site_fract_y
_atom_site_fract_z
_atom_site_occupancy
Ac1 Ac 0.000 0.000 0.000 1
Pb1 Pb 0.000 0.000 0.500 1
```